Computed, not measured: SiMo2Se after structural relaxation at the PBE level of DFT.

Cell: 3.107 3.107 6.259 Å, 90.00 90.00 90.00°
Fractional coordinates of all 4 atoms:
Si: 0.000 0.000 0.000
Mo: 0.500 0.500 0.226
Mo: 0.500 0.500 0.774
Se: 0.000 0.000 0.500

Computed properties:
Formation energy without anion corrections, eV/atom: -0.050
Distance to the lowest polymorph of the same formula, meV/atom: 76